BeCrAg2F6 GGA+U optimized geometry; E = -4.901 eV/atom; space-group type = P1
1.0
5.803 0.280 0.446
3.151 5.117 0.716
3.346 2.252 5.147
Ag F Cr Be
2 6 1 1
Cartesian
3.158 1.992 3.921
6.606 3.745 2.371
7.037 4.512 4.785
2.243 1.160 1.593
4.980 2.076 2.347
8.800 4.581 2.323
4.549 4.102 4.502
9.425 7.198 5.412
9.181 5.755 3.891
5.887 3.588 5.233